A.
Density functional theory data (PBE) for crystalline Sr2BeH2 at its relaxed geometry.

a b c (Å): 5.332 5.332 5.352
angles (deg): 60.12 60.12 90.00
Fractional coordinates of all 5 atoms:
1 H 0.189 0.189 0.622
2 H 0.811 0.811 0.378
3 Sr 0.250 0.750 0.500
4 Sr 0.750 0.250 0.500
5 Be 0.000 0.000 0.000

total magnetization: 0.00 μB/atom
D(E_F): 1.92 states/eV/cell
symmetry: I4/mmm

B.
Density functional theory data (PBE) for crystalline Sr2BeH2 at its relaxed geometry.

a b c (Å): 7.373 7.373 3.367
angles (deg): 90.00 90.00 90.00
Fractional coordinates of all 10 atoms:
1 H 0.123 0.377 0.000
2 H 0.623 0.123 0.000
3 H 0.877 0.623 0.000
4 H 0.377 0.877 0.000
5 Sr 0.318 0.182 0.500
6 Sr 0.682 0.818 0.500
7 Sr 0.818 0.318 0.500
8 Sr 0.182 0.682 0.500
9 Be 0.000 0.000 0.000
10 Be 0.500 0.500 0.000

total magnetization: 0.00 μB/atom
D(E_F): 1.88 states/eV/cell
symmetry: P4/mbm

Structures ranked by computed energy, the most stable listed first: A, B.